# 1
# Tb2Tm3Pb4

A relaxed structure of Tb2Tm3Pb4 (PBE, Alexandria).

Lattice parameters (Å, degrees): 4.883 6.764 8.555 104.07 106.59 89.99
Atoms (fractional coordinates):
Tb 0.331 0.932 0.661
Tb 0.669 0.068 0.339
Pb 0.510 0.282 0.019
Pb 0.490 0.718 0.981
Pb 0.750 0.679 0.499
Pb 0.250 0.321 0.501
Tm 0.889 0.413 0.777
Tm 0.000 0.000 0.000
Tm 0.111 0.587 0.223

Results
SG = No. 12
calculated volume = 261.95 Å³/f.u.
energy relative to the elements = -0.394 eV/atom

# 2
# TbTm4Pb

A relaxed structure of TbTm4Pb (PBE, Alexandria).

Lattice parameters (Å, degrees): 5.274 6.718 11.546 90.00 103.20 90.00
Atoms (fractional coordinates):
Tm 0.853 0.232 0.707
Tm 0.560 0.504 0.121
Tm 0.711 0.483 0.421
Tm 0.289 0.983 0.579
Tm 0.440 0.004 0.879
Tm 0.287 0.481 0.574
Tm 0.713 0.981 0.426
Tm 0.147 0.732 0.293
Tb 0.142 0.237 0.283
Tb 0.858 0.737 0.717
Pb 0.575 0.996 0.150
Pb 0.425 0.496 0.850

Results
SG = No. 36
calculated volume = 199.11 Å³/f.u.
energy relative to the elements = 0.035 eV/atom

# 3
# Tb2TmPb

A relaxed structure of Tb2TmPb (PBE, Alexandria).

Lattice parameters (Å, degrees): 5.218 5.218 6.439 66.09 66.09 60.00
Atoms (fractional coordinates):
Pb 0.685 0.685 0.946
Tb 0.272 0.272 0.185
Tb 0.055 0.055 0.836
Tm 0.489 0.489 0.533

Results
SG = No. 160
calculated volume = 134.20 Å³/f.u.
energy relative to the elements = 0.058 eV/atom
offset from the most stable computed form = 333 meV/atom